# SrBeSb2 (PBE-GGA, relaxed)
data_SrBeSb2
_chemical_formula_sum 'Sr2 Be2 Sb4'
_cell_length_a 9.927
_cell_length_b 3.985
_cell_length_c 6.287
_cell_angle_alpha 90.00
_cell_angle_beta 118.26
_cell_angle_gamma 90.00
_space_group_name_H-M_alt 'C 1 2/m 1'
_space_group_IT_number 12
_space_group_name_Hall '-C 2y'
loop_
_atom_site_label
_atom_site_type_symbol
_atom_site_fract_x
_atom_site_fract_y
_atom_site_fract_z
_atom_site_occupancy
Sr1 Sr 0.000 0.000 0.000 1
Be1 Be 0.000 0.500 0.500 1
Sb1 Sb 0.188 0.000 0.636 1
# * E_form (uncorrected): -0.129 eV/atom
# * mass density: 5.16 g cm⁻³
# * E: -28.3 eV for the cell shown